Record 1
Material: K2AgOs
Method: DFT, SCAN
State: single point on PBEsol structure

abc: 3.504 3.504 9.839
angles: 90.00 90.00 90.00
Space group P4mm (No. 99)
Symmetry-distinct sites (fractional):
K: 0.000 0.000 0.000 x1
K: 0.500 0.500 0.436 x1
Ag: 0.500 0.500 0.763 x1
Os: 0.000 0.000 0.679 x1

## Properties
Density of states at the Fermi level   2.919 states/eV per cell
Total magnetic moment   0.01 μB/f.u.
E   -28.9353 eV/atom

Record 2
Material: YFe2Ru
Method: DFT, SCAN
State: single point on PBEsol structure

abc: 3.230 4.308 4.329
angles: 90.00 90.00 90.00
Space group Pmmm (No. 47)
Symmetry-distinct sites (fractional):
Y: 0.000 0.000 0.000 x1
Fe: 0.000 0.500 0.500 x1
Fe: 0.500 0.000 0.500 x1
Ru: 0.500 0.500 0.000 x1

## Properties
Density of states at the Fermi level   3.379 states/eV per cell
Total magnetic moment   5.72 μB/f.u.
E   -24.5523 eV/atom

Record 3
Material: LaMn3Be
Method: DFT, SCAN
State: single point on PBEsol structure

abc: 4.509 4.509 4.509
angles: 90.00 90.00 90.00
Space group Pm-3m (No. 221)
Symmetry-distinct sites (fractional):
La: 0.000 0.000 0.000 x1
Mn: 0.000 0.000 0.500 x3
Be: 0.500 0.500 0.500 x1

## Properties
Density of states at the Fermi level   2.648 states/eV per cell
Total magnetic moment   8.54 μB/f.u.
E   -18.5673 eV/atom

Record 4
Material: CsTeNF2
Method: DFT, SCAN
State: single point on PBEsol structure

abc: 4.805 4.805 4.051
angles: 90.00 90.00 90.00
Space group P4/mmm (No. 123)
Symmetry-distinct sites (fractional):
Cs: 0.000 0.000 0.000 x1
Te: 0.500 0.500 0.500 x1
N: 0.500 0.500 0.000 x1
F: 0.000 0.500 0.500 x2

## Properties
ΔE_f (raw)   -1.124 eV/atom
Density of states at the Fermi level   0.702 states/eV per cell
Total magnetic moment   0.00 μB/f.u.
E   -19.4106 eV/atom

Record 5
Material: TaReW
Method: DFT, SCAN
State: single point on PBEsol structure

abc: 6.091 6.091 6.091
angles: 90.00 90.00 90.00
Space group F-43m (No. 216)
Symmetry-distinct sites (fractional):
Ta: 0.000 0.000 0.000 x4
Re: 0.250 0.250 0.750 x4
W: 0.250 0.250 0.250 x4

## Properties
Density of states at the Fermi level   17.971 states/eV per cell
Total magnetic moment   0.00 μB/f.u.
E   -68.0094 eV/atom

Record 6
Material: AuS2BrN
Method: DFT, SCAN
State: single point on PBEsol structure

abc: 5.006 5.006 3.720
angles: 90.00 90.00 90.00
Space group P4/mmm (No. 123)
Symmetry-distinct sites (fractional):
Au: 0.000 0.000 0.000 x1
S: 0.000 0.500 0.000 x2
Br: 0.500 0.500 0.500 x1
N: 0.000 0.000 0.500 x1

## Properties
ΔE_f (raw)   1.382 eV/atom
Density of states at the Fermi level   4.329 states/eV per cell
Total magnetic moment   0.00 μB/f.u.
E   -22.0507 eV/atom

Record 7
Material: KMnCu2O
Method: DFT, SCAN
State: single point on PBEsol structure

abc: 4.763 4.763 4.298
angles: 90.00 90.00 90.00
Space group P4/mmm (No. 123)
Symmetry-distinct sites (fractional):
K: 0.000 0.000 0.000 x1
Mn: 0.500 0.500 0.500 x1
Cu: 0.000 0.500 0.000 x2
O: 0.000 0.000 0.500 x1

## Properties
ΔE_f (raw)   1.326 eV/atom
Density of states at the Fermi level   2.413 states/eV per cell
Total magnetic moment   5.00 μB/f.u.
E   -11.3168 eV/atom

Record 8
Material: AlCd2P
Method: DFT, SCAN
State: single point on PBEsol structure

abc: 2.9309 2.9309 29.8860
angles: 90.00 90.00 120.00
Space group R-3m (No. 166, hexagonal axes)
Symmetry-distinct sites (fractional):
Al: 0.0000 0.0000 0.0000 x3
Cd: 0.0000 0.0000 0.2490 x6
P: 0.0000 0.0000 0.5000 x3

## Properties
Density of states at the Fermi level   4.011 states/eV per cell
Total magnetic moment   0.00 μB/f.u.
E   -19.4076 eV/atom